1.
Mg2NbCu | PBE | optimized geometry

a = 6.4948 Å, b = 6.4948 Å, c = 6.4948 Å
α = 90.00°, β = 90.00°, γ = 90.00°
With the nearest neighbours (Å) after each atom.
Space group F-43m (No. 216)
One atom of each set of equivalent atoms:
Mg (0.0000, 0.0000, 0.0000) x4  4 Mg 2.81, 4 Cu 2.81
Mg (0.2500, 0.2500, 0.2500) x4  4 Nb 2.81, 4 Mg 2.81
Nb (0.0000, 0.0000, 0.5000) x4  4 Mg 2.81, 4 Cu 2.81
Cu (0.2500, 0.2500, 0.7500) x4  4 Nb 2.81, 4 Mg 2.81

Computed properties:
Total magnetization (μB per atom): 0.018
Total DFT energy (no corrections) (eV per atom): -3.92

=====

2.
CuAg4 | PBE | optimized geometry

a = 4.9661 Å, b = 2.8972 Å, c = 11.7589 Å
α = 90.00°, β = 97.33°, γ = 90.00°
With the nearest neighbours (Å) after each atom.
Space group P2_1/m (No. 11)
One atom of each set of equivalent atoms:
Cu (0.0487, 0.2500, 0.4104) x2  4 Cu 2.65-2.90, 8 Ag 2.71-2.96
Ag (0.1499, 0.7500, 0.2146) x2  2 Cu 2.82, 10 Ag 2.84-3.03
Ag (0.2484, 0.2500, 0.0033) x2  12 Ag 2.85-3.03
Ag (0.3453, 0.7500, 0.7970) x2  11 Ag 2.84-2.92, 1 Cu 2.93
Ag (0.4344, 0.2500, 0.5956) x2  5 Cu 2.71-2.96, 7 Ag 2.82-2.90

Computed properties:
Relative energy among the computed polymorphs (meV/atom): 33
Total DFT energy (no corrections) (eV per atom): -2.95
Energy of formation from the pure elements (kcal/mol of atoms): 1.32

=====

3.
ErMgPd | PBE | optimized geometry

a = 6.5819 Å, b = 6.5819 Å, c = 6.5819 Å
α = 90.00°, β = 90.00°, γ = 90.00°
With the nearest neighbours (Å) after each atom.
Space group F-43m (No. 216)
One atom of each set of equivalent atoms:
Er (0.0000, 0.0000, 0.0000) x4  4 Pd 2.85
Mg (0.0000, 0.0000, 0.5000) x4  4 Pd 2.85
Pd (0.2500, 0.2500, 0.2500) x4  4 Mg 2.85, 4 Er 2.85

Computed properties:
Total magnetization (μB per atom): 0.003
Total DFT energy (no corrections) (eV per atom): -4.31

=====

4.
DyHoPd2Pb | PBE | optimized geometry

a = 3.6014 Å, b = 4.2535 Å, c = 14.9329 Å
α = 90.00°, β = 90.00°, γ = 90.00°
With the nearest neighbours (Å) after each atom.
Space group Amm2 (No. 38)
One atom of each set of equivalent atoms:
Dy (0.0000, 0.0000, 0.0000) x2  6 Pd 2.91-3.15
Ho (0.0000, 0.0000, 0.7289) x2  6 Pd 2.91-3.13
Pd (0.5000, 0.0000, 0.1727) x2  2 Pd 2.74, 1 Pb 2.86, 4 Ho 2.91
Pd (0.5000, 0.0000, 0.5572) x2  2 Pd 2.74, 1 Pb 2.88, 4 Dy 2.91
Pb (0.5000, 0.0000, 0.3645) x2  2 Pd 2.86-2.88

Computed properties:
Total magnetization (μB per atom): 0.001
Total DFT energy (no corrections) (eV per atom): -5.46

=====

5.
Dy4CI2Br2Cl | PBE | optimized geometry

a = 18.5276 Å, b = 3.8353 Å, c = 8.0119 Å
α = 90.00°, β = 101.37°, γ = 90.00°
With the nearest neighbours (Å) after each atom.
Space group C2/m (No. 12)
One atom of each set of equivalent atoms:
Dy (0.0018, 0.0000, 0.2944) x4  2 C 2.53
Dy (0.1321, 0.5000, 0.5696) x4  1 C 2.40
C (0.0000, 0.5000, 0.5000) x2  6 Dy 2.40-2.53
I (0.1726, 0.0000, 0.3059) x4  3 Dy 3.05-3.15
Br (0.1550, 0.0000, 0.8382) x4  3 Dy 2.85-2.89
Cl (0.0000, 0.5000, 0.0000) x2  4 Dy 3.03

Computed properties:
Relative energy among the computed polymorphs (meV/atom): 0
Total magnetization (μB per atom): 0.001
Total DFT energy (no corrections) (eV per atom): -4.93

=====

6.
SrLuO3 | PBE | optimized geometry

a = 5.8706 Å, b = 5.8706 Å, c = 15.7779 Å
α = 90.00°, β = 90.00°, γ = 120.00°
With the nearest neighbours (Å) after each atom.
Space group R-3 (No. 148, hexagonal axes)
One atom of each set of equivalent atoms:
Sr (0.0000, 0.0000, 0.1335) x6  6 O 2.45-2.58
Lu (0.0000, 0.0000, 0.3481) x6  6 O 2.17-2.22
O (0.0263, 0.4003, 0.9235) x18  2 Lu 2.17-2.22

Computed properties:
Total magnetization (μB per atom): 0.200
Total DFT energy (no corrections) (eV per atom): -6.99

=====

7.
Pr3Sc3Te2Pd | PBE | optimized geometry

a = 8.1872 Å, b = 8.1872 Å, c = 4.1196 Å
α = 90.00°, β = 90.00°, γ = 120.00°
With the nearest neighbours (Å) after each atom.
Space group P-62m (No. 189)
One atom of each set of equivalent atoms:
Pr (0.0000, 0.3992, 0.0000) x3  4 Te 3.24, 1 Pd 3.27, 4 Sc 3.51
Sc (0.0000, 0.7672, 0.5000) x3  2 Pd 2.81
Te (0.3333, 0.6667, 0.5000) x2  3 Sc 3.22, 6 Pr 3.24
Pd (0.0000, 0.0000, 0.0000) x1  6 Sc 2.81

Computed properties:
Relative energy among the computed polymorphs (meV/atom): 0
Total magnetization (μB per atom): 0.002
Total DFT energy (no corrections) (eV per atom): -5.82

=====

8.
HfBe2Bi | PBE | optimized geometry

a = 6.6723 Å, b = 6.6723 Å, c = 6.6723 Å
α = 90.00°, β = 90.00°, γ = 90.00°
With the nearest neighbours (Å) after each atom.
Space group F-43m (No. 216)
One atom of each set of equivalent atoms:
Hf (0.0000, 0.0000, 0.0000) x4  4 Be 2.89, 4 Bi 2.89
Be (0.0000, 0.0000, 0.5000) x4  4 Bi 2.89, 4 Be 2.89
Be (0.2500, 0.2500, 0.2500) x4  4 Be 2.89, 4 Hf 2.89
Bi (0.2500, 0.2500, 0.7500) x4  4 Hf 2.89, 4 Be 2.89

Computed properties:
Total magnetization (μB per atom): 0.004
Total DFT energy (no corrections) (eV per atom): -4.53

=====

9.
Zr5InPb3 | PBE | optimized geometry

a = 8.9169 Å, b = 8.9169 Å, c = 6.0205 Å
α = 90.00°, β = 90.00°, γ = 120.00°
With the nearest neighbours (Å) after each atom.
Space group P6_3/mcm (No. 193)
One atom of each set of equivalent atoms:
Zr (0.0000, 0.2799, 0.2500) x6  2 In 2.91, 5 Pb 3.01-3.15
Zr (0.3333, 0.6667, 0.0000) x4  2 Zr 3.01, 6 Pb 3.16
In (0.0000, 0.0000, 0.0000) x2  6 Zr 2.91, 2 In 3.01
Pb (0.0000, 0.3826, 0.7500) x6  9 Zr 3.01-3.16

Computed properties:
Total magnetization (μB per atom): 0.000
Total DFT energy (no corrections) (eV per atom): -6.58

=====

10.
DyTcNO | PBE | optimized geometry

a = 3.7553 Å, b = 3.7553 Å, c = 7.7214 Å
α = 90.00°, β = 90.00°, γ = 90.00°
With the nearest neighbours (Å) after each atom.
Space group P4/nmm (No. 129, origin choice 2)
One atom of each set of equivalent atoms:
Dy (0.2500, 0.2500, 0.1488) x2  4 O 2.20
Tc (0.2500, 0.7500, 0.5000) x2  4 N 2.12
N (0.2500, 0.2500, 0.6286) x2  4 Tc 2.12
O (0.2500, 0.7500, 0.0000) x2  4 Dy 2.20

Computed properties:
Relative energy among the computed polymorphs (meV/atom): 216
Total magnetization (μB per atom): 0.004
Total DFT energy (no corrections) (eV per atom): -8.55

=====

11.
Nd3AlNiS7 | PBE | optimized geometry

a = 10.0086 Å, b = 10.0086 Å, c = 5.9247 Å
α = 90.00°, β = 90.00°, γ = 120.00°
With the nearest neighbours (Å) after each atom.
Space group P6_3 (No. 173)
One atom of each set of equivalent atoms:
Nd (0.1384, 0.3704, 0.0000) x6  7 S 2.83-3.04
Al (0.3333, 0.6667, 0.4205) x2  4 S 2.21-2.25
Ni (0.0000, 0.0000, 0.2815) x2  6 S 2.46-2.48
S (0.0848, 0.2258, 0.5340) x6  2 Ni 2.46-2.48
S (0.0970, 0.5816, 0.2728) x6  1 Al 2.25
S (0.3333, 0.6667, 0.7931) x2  1 Al 2.21

Computed properties:
Total magnetization (μB per atom): 0.167
Total DFT energy (no corrections) (eV per atom): -5.93

=====

12.
GdDy2Er | PBE | optimized geometry

a = 5.6274 Å, b = 12.4709 Å, c = 7.2025 Å
α = 90.00°, β = 90.00°, γ = 90.00°
With the nearest neighbours (Å) after each atom.
Space group Ama2 (No. 40)
One atom of each set of equivalent atoms:
Gd (0.2500, 0.0834, 0.0000) x4  4 Er 3.50-3.60, 6 Dy 3.50-3.60, 2 Gd 3.50
Dy (0.2500, 0.0836, 0.5003) x4  4 Er 3.50-3.60, 6 Dy 3.50-3.61, 2 Gd 3.60
Dy (0.2500, 0.3331, 0.7499) x4  4 Er 3.50-3.60, 4 Gd 3.50-3.60, 4 Dy 3.50-3.61
Er (0.2500, 0.3332, 0.2504) x4  8 Dy 3.50-3.60, 4 Gd 3.50-3.60

Computed properties:
Total magnetization (μB per atom): 0.047
Total DFT energy (no corrections) (eV per atom): -4.60
Energy of formation from the pure elements (kcal/mol of atoms): 0.20